(1)
PmTl2Hg: optimized geometry, GGA-PBE.

Cell: 3.934 3.934 7.218 Å, 90.00 90.00 90.00°
Sites, in units of the cell vectors:
1 Pm 0.000 0.000 0.000
2 Tl 0.500 0.500 0.267
3 Tl 0.500 0.500 0.733
4 Hg 0.000 0.000 0.500

SG ... No. 123
Energy above the lowest structure with this stoichiometry ... 172 meV per atom
Calculated total energy ... -10.34 eV/cell
Magnetic moment ... 0.00 μB/atom



(2)
PmTl6Hg23: optimized geometry, GGA-PBE.

Cell: 10.603 10.603 10.603 Å, 60.00 60.00 60.00°
Sites, in units of the cell vectors:
1 Pm 0.000 0.000 0.000
2 Tl 0.284 0.284 0.716
3 Tl 0.284 0.716 0.284
4 Tl 0.284 0.716 0.716
5 Tl 0.716 0.284 0.284
6 Tl 0.716 0.284 0.716
7 Tl 0.716 0.716 0.284
8 Hg 0.000 0.000 0.500
9 Hg 0.000 0.500 0.000
10 Hg 0.000 0.500 0.500
11 Hg 0.020 0.660 0.660
12 Hg 0.121 0.121 0.121
13 Hg 0.121 0.121 0.638
14 Hg 0.121 0.638 0.121
15 Hg 0.340 0.340 0.340
16 Hg 0.340 0.340 0.980
17 Hg 0.340 0.980 0.340
18 Hg 0.362 0.879 0.879
19 Hg 0.500 0.000 0.000
20 Hg 0.500 0.000 0.500
21 Hg 0.500 0.500 0.000
22 Hg 0.500 0.500 0.500
23 Hg 0.638 0.121 0.121
24 Hg 0.660 0.020 0.660
25 Hg 0.660 0.660 0.020
26 Hg 0.660 0.660 0.660
27 Hg 0.879 0.362 0.879
28 Hg 0.879 0.879 0.362
29 Hg 0.879 0.879 0.879
30 Hg 0.980 0.340 0.340

SG ... No. 225
Calculated total energy ... -26.72 eV/cell
Magnetic moment ... 0.00 μB/atom



(3)
Pm4TlHg: optimized geometry, GGA-PBE.

Cell: 5.227 5.227 7.564 Å, 90.00 90.00 90.00°
Sites, in units of the cell vectors:
1 Pm 0.000 0.500 0.243
2 Pm 0.000 0.500 0.757
3 Pm 0.500 0.000 0.243
4 Pm 0.500 0.000 0.757
5 Tl 0.000 0.000 0.500
6 Hg 0.500 0.500 0.000

SG ... No. 123
Energy above the lowest structure with this stoichiometry ... 0 meV per atom
Calculated total energy ... -22.10 eV/cell
Magnetic moment ... 0.15 μB/atom